# BiSbRh2 | Alexandria via LeMat-Bulk | PBE | relaxed
data_BiSbRh2
_space_group_name_H-M_alt 'P 1 21/c 1'
_space_group_IT_number 14
_space_group_name_Hall '-P 2ybc'
_cell_length_a 8.2078
_cell_length_b 6.9048
_cell_length_c 5.7640
_cell_angle_alpha 90.00
_cell_angle_beta 90.09
_cell_angle_gamma 90.00
loop_
_atom_site_label
_atom_site_fract_x
_atom_site_fract_y
_atom_site_fract_z
_atom_site_occupancy
Bi1 0.1252 0.0932 0.2210 1
Sb1 0.3746 0.5801 0.2845 1
Rh1 0.1420 0.7250 0.0060 1
Rh2 0.3926 0.2204 0.4945 1
# Distance to the lowest polymorph of the same formula: 0 meV per atom
# Formation energy (no corrections): -1.37 eV per formula unit


# Sm3Si2Cl5O6 | Alexandria via LeMat-Bulk | PBE | relaxed
data_Sm3Si2Cl5O6
_space_group_name_H-M_alt 'C 1 2/m 1'
_space_group_IT_number 12
_space_group_name_Hall '-C 2y'
_cell_length_a 10.7481
_cell_length_b 10.6477
_cell_length_c 12.0078
_cell_angle_alpha 90.00
_cell_angle_beta 103.06
_cell_angle_gamma 90.00
loop_
_atom_site_label
_atom_site_fract_x
_atom_site_fract_y
_atom_site_fract_z
_atom_site_occupancy
Sm1 0.1664 0.2491 0.1689 1
Sm2 0.2500 0.2500 0.5000 1
Si1 0.0358 0.1451 0.6419 1
Cl1 0.1058 0.2184 0.9207 1
Cl2 0.1197 0.5000 0.1411 1
Cl3 0.1848 0.5000 0.4983 1
Cl4 0.2230 0.0000 0.1631 1
O1 0.0000 0.1486 0.5000 1
O2 0.0459 0.0000 0.6858 1
O3 0.0864 0.2161 0.3278 1
O4 0.1738 0.2149 0.6721 1
# Formation energy (no corrections): -44.29 eV per formula unit


# UInPd2 | Alexandria via LeMat-Bulk | PBE | relaxed
data_UInPd2
_space_group_name_H-M_alt 'P 4/m m m'
_space_group_IT_number 123
_space_group_name_Hall '-P 4 2'
_cell_length_a 3.2081
_cell_length_b 3.2081
_cell_length_c 7.4766
_cell_angle_alpha 90.00
_cell_angle_beta 90.00
_cell_angle_gamma 90.00
loop_
_atom_site_label
_atom_site_fract_x
_atom_site_fract_y
_atom_site_fract_z
_atom_site_occupancy
U1 0.0000 0.0000 0.0000 1
In1 0.0000 0.0000 0.5000 1
Pd1 0.5000 0.5000 0.2641 1
# Formation energy: -0.32 eV per atom


Q: Which formula does entry 2 have?
A: Sm3Si2Cl5O6